Compound: ZnTc3
Source: Alexandria
Functional: PBE-GGA
Structure: relaxed

- total energy (eV/atom) = -8.02
- magnetization (μB per formula unit) = 0.0
- energy relative to the elements (eV per atom) = 0.0774

Cell lengths 4.463, 5.331, 4.820 Å; angles 90.00, 90.00, 90.00 degrees
Fractional positions:
Zn 0.250 0.250 0.159
Zn 0.750 0.750 0.841
Tc 0.250 0.509 0.668
Tc 0.250 0.750 0.159
Tc 0.250 0.991 0.668
Tc 0.750 0.009 0.332
Tc 0.750 0.250 0.841
Tc 0.750 0.491 0.332

Compound: ZnTc3
Source: Alexandria
Functional: PBE-GGA
Structure: relaxed

- total energy (eV/atom) = -5.24
- magnetization (μB per formula unit) = 3.0
- energy relative to the elements (eV per atom) = 2.8507

Cell lengths 4.581, 4.581, 4.581 Å; angles 90.00, 90.00, 90.00 degrees
Fractional positions:
Zn 0.000 0.000 0.000
Tc 0.000 0.000 0.500
Tc 0.000 0.500 0.000
Tc 0.500 0.000 0.000

Compound: Zn3Tc
Source: Alexandria
Functional: PBE-GGA
Structure: relaxed

- total energy (eV/atom) = -3.47
- magnetization (μB per formula unit) = 0.0
- energy relative to the elements (eV per atom) = 0.0812

Cell lengths 2.650, 4.030, 5.415 Å; angles 90.00, 90.00, 90.00 degrees
Fractional positions:
Zn 0.000 0.000 0.000
Zn 0.500 0.500 0.260
Zn 0.500 0.500 0.740
Tc 0.000 0.000 0.500

Compound: ZnTc3
Source: Alexandria
Functional: PBE-GGA
Structure: relaxed

- total energy (eV/atom) = -8.06
- magnetization (μB per formula unit) = 0.0
- energy relative to the elements (eV per atom) = 0.0354

Cell lengths 2.773, 2.773, 8.752 Å; angles 90.00, 90.00, 120.00 degrees
Fractional positions:
Zn 0.000 0.000 0.000
Tc 0.000 0.000 0.500
Tc 0.667 0.333 0.255
Tc 0.667 0.333 0.745